Compound: RbCu3Te4Mo
Source: OQMD
Functional: PBE
Structure: optimized geometry

Structure (CIF):
```
data_RbCu3Te4Mo
_symmetry_space_group_name_H-M 'P -4 3 m'
_symmetry_Int_Tables_number 215
_symmetry_space_group_name_Hall 'P -4 2 3'
_cell_length_a 6.6222
_cell_length_b 6.6222
_cell_length_c 6.6222
_cell_angle_alpha 90.00
_cell_angle_beta 90.00
_cell_angle_gamma 90.00
loop_
_atom_site_label
_atom_site_type_symbol
_atom_site_fract_x
_atom_site_fract_y
_atom_site_fract_z
Rb1 Rb 0.0000 0.0000 0.0000
Cu1 Cu 0.0000 0.5000 0.5000
Te1 Te 0.2765 0.2765 0.2765
Mo1 Mo 0.5000 0.5000 0.5000
```

Results
- Crystal system: cubic
- Calculated volume: 32.27 Å³/atom
- Uncorrected energy: -3.953 eV/atom
- Total moment: 2.0 μB per cell

=====

Compound: CuReSbMo
Source: OQMD
Functional: PBE
Structure: optimized geometry

Structure (CIF):
```
data_CuReSbMo
_symmetry_space_group_name_H-M 'F -4 3 m'
_symmetry_Int_Tables_number 216
_symmetry_space_group_name_Hall 'F -4 2 3'
_cell_length_a 6.3395
_cell_length_b 6.3395
_cell_length_c 6.3395
_cell_angle_alpha 90.00
_cell_angle_beta 90.00
_cell_angle_gamma 90.00
loop_
_atom_site_label
_atom_site_type_symbol
_atom_site_fract_x
_atom_site_fract_y
_atom_site_fract_z
Cu1 Cu 0.0000 0.0000 0.0000
Re1 Re 0.0000 0.0000 0.5000
Sb1 Sb 0.2500 0.2500 0.7500
Mo1 Mo 0.2500 0.2500 0.2500
```

Results
- Crystal system: cubic
- Calculated volume: 15.92 Å³/atom
- Uncorrected energy: -7.335 eV/atom
- Total moment: 0.1 μB per cell

=====

Compound: CuReSiMo
Source: OQMD
Functional: PBE
Structure: optimized geometry

Structure (CIF):
```
data_CuReSiMo
_symmetry_space_group_name_H-M 'F -4 3 m'
_symmetry_Int_Tables_number 216
_symmetry_space_group_name_Hall 'F -4 2 3'
_cell_length_a 6.0600
_cell_length_b 6.0600
_cell_length_c 6.0600
_cell_angle_alpha 90.00
_cell_angle_beta 90.00
_cell_angle_gamma 90.00
loop_
_atom_site_label
_atom_site_type_symbol
_atom_site_fract_x
_atom_site_fract_y
_atom_site_fract_z
Cu1 Cu 0.0000 0.0000 0.0000
Re1 Re 0.0000 0.0000 0.5000
Si1 Si 0.2500 0.2500 0.7500
Mo1 Mo 0.2500 0.2500 0.2500
```

Results
- Crystal system: cubic
- Calculated volume: 13.91 Å³/atom
- Uncorrected energy: -8.020 eV/atom
- Total moment: 0.0 μB per cell